(1)
First-principles (SCAN) data for a PBEsol-optimized structure of BeTcP, as listed in Alexandria via LeMat-Bulk.

Summary:
- Symmetry: No. 107
- Calculated formation energy: -612.4 meV per atom

a b c (Å): 2.981 2.981 4.268
angles (deg): 110.44 110.44 90.00
Fractional positions:
P1 0.668 0.668 0.336
Tc1 0.329 0.329 0.659
Be1 0.003 0.003 0.006


(2)
First-principles (SCAN) data for a PBEsol-optimized structure of BeTeP, as listed in Alexandria via LeMat-Bulk.

Summary:
- Symmetry: No. 107
- Energy relative to the elements, uncorrected: 0.8 eV/f.u.

a b c (Å): 3.157 3.157 6.007
angles (deg): 105.23 105.23 90.00
Fractional positions:
P1 0.430 0.430 0.860
Te1 0.670 0.670 0.340
Be1 0.900 0.900 0.800


(3)
First-principles (SCAN) data for a PBEsol-optimized structure of BeTeP, as listed in Alexandria via LeMat-Bulk.

Summary:
- Symmetry: No. 216
- Energy relative to the elements, uncorrected: 1.6 eV/f.u.

a b c (Å): 4.297 4.297 4.297
angles (deg): 60.00 60.00 60.00
Fractional positions:
P1 0.000 0.000 0.000
Te1 0.500 0.500 0.500
Be1 0.750 0.750 0.750


(4)
First-principles (SCAN) data for a PBEsol-optimized structure of BeTeP2, as listed in Alexandria via LeMat-Bulk.

Summary:
- Symmetry: No. 6
- ΔE to the lowest computed polymorph: 0 meV/atom
- Energy relative to the elements, uncorrected: 0.5 eV/f.u.

a b c (Å): 3.714 3.793 5.666
angles (deg): 101.70 90.00 90.00
Fractional positions:
P1 0.000 0.073 0.824
P2 0.500 0.723 0.193
Te1 0.000 0.535 0.485
Be1 0.500 0.170 0.998


(5)
First-principles (SCAN) data for a PBEsol-optimized structure of BeTeP, as listed in Alexandria via LeMat-Bulk.

Summary:
- Symmetry: No. 216
- Energy relative to the elements, uncorrected: 3.0 eV/f.u.

a b c (Å): 4.446 4.446 4.446
angles (deg): 60.00 60.00 60.00
Fractional positions:
P1 0.500 0.500 0.500
Te1 0.750 0.750 0.750
Be1 0.000 0.000 0.000


(6)
First-principles (SCAN) data for a PBEsol-optimized structure of BeTeP2, as listed in Alexandria via LeMat-Bulk.

Summary:
- Symmetry: No. 216
- ΔE to the lowest computed polymorph: 756 meV/atom
- Energy relative to the elements, uncorrected: 3.6 eV/f.u.

a b c (Å): 4.508 4.508 4.508
angles (deg): 60.00 60.00 60.00
Fractional positions:
P1 0.000 0.000 0.000
P2 0.750 0.750 0.750
Te1 0.500 0.500 0.500
Be1 0.250 0.250 0.250


(7)
First-principles (SCAN) data for a PBEsol-optimized structure of BeTeP2, as listed in Alexandria via LeMat-Bulk.

Summary:
- Symmetry: No. 65
- ΔE to the lowest computed polymorph: 750 meV/atom
- Energy relative to the elements, uncorrected: 3.5 eV/f.u.

a b c (Å): 3.563 4.457 4.457
angles (deg): 106.88 90.00 90.00
Fractional positions:
P1 0.000 0.500 0.000
P2 0.000 0.000 0.500
Te1 0.500 0.000 0.000
Be1 0.500 0.500 0.500


(8)
First-principles (SCAN) data for a PBEsol-optimized structure of BeTeP2, as listed in Alexandria via LeMat-Bulk.

Summary:
- Symmetry: No. 160
- ΔE to the lowest computed polymorph: 81 meV/atom
- Energy relative to the elements, uncorrected: 0.9 eV/f.u.

a b c (Å): 3.366 3.366 7.952
angles (deg): 77.78 77.78 60.00
Fractional positions:
P1 0.996 0.996 0.011
P2 0.717 0.717 0.848
Te1 0.528 0.528 0.415
Be1 0.258 0.258 0.226


N(E_F) / states/eV per atom: 0.018, 0.508, 0.611, 0.205, 0.492, 0.335, 0.551, 0.343
Total energy / eV per atom: -17.216, -17.080, -16.792, -15.468, -16.347, -14.712, -14.718, -15.387
Calculated density / Mg/m³: 6.9, 5.0, 5.0, 4.2, 4.5, 5.1, 4.9, 4.4